Computed, not measured: a geometry-optimized La5Pm3H12 structure at the PBE-GGA level of DFT.

Values from the calculation:
* total energy: -4.385 eV/atom
* SG: No. 230

a b c (Å): 11.942 11.942 11.942
angles (deg): 109.47 109.47 109.47
Fractional coordinates of all 80 atoms:
Pm: 0.750 0.375 0.125
Pm: 0.875 0.750 0.125
Pm: 0.375 0.750 0.625
Pm: 0.250 0.125 0.375
Pm: 0.875 0.125 0.250
Pm: 0.375 0.625 0.250
Pm: 0.625 0.375 0.750
Pm: 0.125 0.875 0.750
Pm: 0.750 0.875 0.625
Pm: 0.625 0.250 0.375
Pm: 0.125 0.250 0.875
Pm: 0.250 0.625 0.875
La: 0.125 0.375 0.250
La: 0.000 0.500 0.000
La: 0.000 0.000 0.000
La: 0.375 0.250 0.125
La: 0.500 0.000 0.500
La: 0.500 0.500 0.000
La: 0.125 0.750 0.375
La: 0.750 0.125 0.875
La: 0.750 0.625 0.375
La: 0.375 0.125 0.750
La: 0.625 0.875 0.250
La: 0.500 0.500 0.500
La: 0.500 0.000 0.000
La: 0.000 0.000 0.500
La: 0.250 0.375 0.625
La: 0.250 0.875 0.125
La: 0.000 0.500 0.500
La: 0.875 0.250 0.625
La: 0.625 0.750 0.875
La: 0.875 0.625 0.750
H: 0.730 0.156 0.073
H: 0.343 0.573 0.416
H: 0.927 0.344 0.270
H: 0.573 0.230 0.156
H: 0.574 0.730 0.657
H: 0.927 0.584 0.157
H: 0.343 0.770 0.426
H: 0.084 0.926 0.156
H: 0.584 0.927 0.657
H: 0.730 0.574 0.157
H: 0.770 0.427 0.344
H: 0.843 0.916 0.073
H: 0.156 0.730 0.573
H: 0.344 0.416 0.074
H: 0.074 0.916 0.344
H: 0.426 0.156 0.584
H: 0.074 0.157 0.230
H: 0.427 0.657 0.084
H: 0.843 0.926 0.270
H: 0.156 0.426 0.084
H: 0.344 0.927 0.770
H: 0.584 0.656 0.426
H: 0.916 0.843 0.573
H: 0.770 0.343 0.926
H: 0.416 0.344 0.574
H: 0.084 0.157 0.427
H: 0.230 0.657 0.074
H: 0.157 0.074 0.730
H: 0.656 0.073 0.230
H: 0.844 0.574 0.916
H: 0.573 0.343 0.916
H: 0.574 0.844 0.416
H: 0.926 0.843 0.770
H: 0.926 0.084 0.656
H: 0.844 0.270 0.427
H: 0.157 0.084 0.927
H: 0.656 0.584 0.926
H: 0.416 0.073 0.343
H: 0.270 0.426 0.843
H: 0.230 0.573 0.656
H: 0.916 0.074 0.844
H: 0.657 0.230 0.574
H: 0.427 0.770 0.844
H: 0.073 0.416 0.843
H: 0.426 0.270 0.343
H: 0.073 0.656 0.730
H: 0.657 0.427 0.584
H: 0.270 0.844 0.927

=====

Computed, not measured: a geometry-optimized LaPm2H structure at the PBE-GGA level of DFT.

Values from the calculation:
* total energy: -4.334 eV/atom
* SG: No. 123
* energy above the lowest structure with this stoichiometry: 266 meV per atom

a b c (Å): 3.406 3.406 8.895
angles (deg): 90.00 90.00 90.00
Fractional coordinates of all 4 atoms:
H: 0.500 0.500 0.000
La: 0.500 0.500 0.500
Pm: 0.000 0.000 0.819
Pm: 0.000 0.000 0.181

=====

Computed, not measured: a geometry-optimized La3PmH8 structure at the PBE-GGA level of DFT.

Values from the calculation:
* total energy: -4.523 eV/atom
* SG: No. 221

a b c (Å): 5.576 5.576 5.576
angles (deg): 90.00 90.00 90.00
Fractional coordinates of all 12 atoms:
La: 0.500 0.500 0.000
La: 0.500 0.000 0.500
La: 0.000 0.500 0.500
Pm: 0.000 0.000 0.000
H: 0.244 0.244 0.756
H: 0.244 0.756 0.244
H: 0.756 0.244 0.244
H: 0.756 0.756 0.756
H: 0.756 0.756 0.244
H: 0.756 0.244 0.756
H: 0.244 0.756 0.756
H: 0.244 0.244 0.244

=====

Computed, not measured: a geometry-optimized LaPmH2 structure at the PBE-GGA level of DFT.

Values from the calculation:
* total energy: -4.482 eV/atom
* SG: No. 194
* energy above the lowest structure with this stoichiometry: 32 meV per atom

a b c (Å): 3.714 3.714 11.821
angles (deg): 90.00 90.00 120.00
Fractional coordinates of all 8 atoms:
La: 0.000 0.000 0.000
La: 0.000 0.000 0.500
Pm: 0.333 0.667 0.250
Pm: 0.667 0.333 0.750
H: 0.333 0.667 0.872
H: 0.667 0.333 0.128
H: 0.667 0.333 0.372
H: 0.333 0.667 0.628

=====

Computed, not measured: a geometry-optimized La3Pm5H12 structure at the PBE-GGA level of DFT.

Values from the calculation:
* total energy: -4.390 eV/atom
* SG: No. 230

a b c (Å): 11.896 11.896 11.896
angles (deg): 109.47 109.47 109.47
Fractional coordinates of all 80 atoms:
La: 0.750 0.375 0.125
La: 0.875 0.750 0.125
La: 0.375 0.750 0.625
La: 0.250 0.125 0.375
La: 0.875 0.125 0.250
La: 0.375 0.625 0.250
La: 0.625 0.375 0.750
La: 0.125 0.875 0.750
La: 0.750 0.875 0.625
La: 0.625 0.250 0.375
La: 0.125 0.250 0.875
La: 0.250 0.625 0.875
Pm: 0.125 0.375 0.250
Pm: 0.000 0.500 0.000
Pm: 0.000 0.000 0.000
Pm: 0.375 0.250 0.125
Pm: 0.500 0.000 0.500
Pm: 0.500 0.500 0.000
Pm: 0.125 0.750 0.375
Pm: 0.750 0.125 0.875
Pm: 0.750 0.625 0.375
Pm: 0.375 0.125 0.750
Pm: 0.625 0.875 0.250
Pm: 0.500 0.500 0.500
Pm: 0.500 0.000 0.000
Pm: 0.000 0.000 0.500
Pm: 0.250 0.375 0.625
Pm: 0.250 0.875 0.125
Pm: 0.000 0.500 0.500
Pm: 0.875 0.250 0.625
Pm: 0.625 0.750 0.875
Pm: 0.875 0.625 0.750
H: 0.723 0.147 0.063
H: 0.340 0.563 0.416
H: 0.937 0.353 0.277
H: 0.563 0.223 0.147
H: 0.576 0.723 0.660
H: 0.937 0.584 0.160
H: 0.340 0.777 0.424
H: 0.084 0.924 0.147
H: 0.584 0.937 0.660
H: 0.723 0.576 0.160
H: 0.777 0.437 0.353
H: 0.840 0.916 0.063
H: 0.147 0.723 0.563
H: 0.353 0.416 0.076
H: 0.076 0.916 0.353
H: 0.424 0.147 0.584
H: 0.076 0.160 0.223
H: 0.437 0.660 0.084
H: 0.840 0.924 0.277
H: 0.147 0.424 0.084
H: 0.353 0.937 0.777
H: 0.584 0.647 0.424
H: 0.916 0.840 0.563
H: 0.777 0.340 0.924
H: 0.416 0.353 0.576
H: 0.084 0.160 0.437
H: 0.223 0.660 0.076
H: 0.160 0.076 0.723
H: 0.647 0.063 0.223
H: 0.853 0.576 0.916
H: 0.563 0.340 0.916
H: 0.576 0.853 0.416
H: 0.924 0.840 0.777
H: 0.924 0.084 0.647
H: 0.853 0.277 0.437
H: 0.160 0.084 0.937
H: 0.647 0.584 0.924
H: 0.416 0.063 0.340
H: 0.277 0.424 0.840
H: 0.223 0.563 0.647
H: 0.916 0.076 0.853
H: 0.660 0.223 0.576
H: 0.437 0.777 0.853
H: 0.063 0.416 0.840
H: 0.424 0.277 0.340
H: 0.063 0.647 0.723
H: 0.660 0.437 0.584
H: 0.277 0.853 0.937

=====

Computed, not measured: a geometry-optimized LaPmH2 structure at the PBE-GGA level of DFT.

Values from the calculation:
* total energy: -4.514 eV/atom
* SG: No. 166
* energy above the lowest structure with this stoichiometry: 0 meV per atom

a b c (Å): 3.647 3.647 6.337
angles (deg): 73.28 73.28 60.00
Fractional coordinates of all 4 atoms:
H: 0.754 0.754 0.738
H: 0.246 0.246 0.262
La: 0.000 0.000 0.000
Pm: 0.500 0.500 0.500

=====

Computed, not measured: a geometry-optimized LaPm2H structure at the PBE-GGA level of DFT.

Values from the calculation:
* total energy: -4.503 eV/atom
* SG: No. 166
* energy above the lowest structure with this stoichiometry: 97 meV per atom

a b c (Å): 3.601 3.601 9.935
angles (deg): 79.56 79.56 60.00
Fractional coordinates of all 4 atoms:
H: 0.500 0.500 0.500
La: 0.000 0.000 0.000
Pm: 0.119 0.119 0.642
Pm: 0.881 0.881 0.358

=====

Computed, not measured: a geometry-optimized La4PmH8 structure at the PBE-GGA level of DFT.

Values from the calculation:
* total energy: -4.194 eV/atom
* SG: No. 221

a b c (Å): 6.046 6.046 6.046
angles (deg): 90.00 90.00 90.00
Fractional coordinates of all 13 atoms:
La: 0.000 0.500 0.500
La: 0.000 0.000 0.000
La: 0.500 0.500 0.000
La: 0.500 0.000 0.500
Pm: 0.500 0.500 0.500
H: 0.268 0.732 0.732
H: 0.732 0.268 0.732
H: 0.732 0.732 0.268
H: 0.268 0.268 0.268
H: 0.268 0.732 0.268
H: 0.732 0.268 0.268
H: 0.732 0.732 0.732
H: 0.268 0.268 0.732

=====

Computed, not measured: a geometry-optimized La2Pm3H8 structure at the PBE-GGA level of DFT.

Values from the calculation:
* total energy: -4.379 eV/atom
* SG: No. 10

a b c (Å): 3.720 6.550 9.347
angles (deg): 68.39 90.00 90.00
Fractional coordinates of all 13 atoms:
La: 0.500 0.726 0.714
La: 0.500 0.274 0.286
Pm: 0.500 0.000 0.000
Pm: 0.000 0.752 0.348
Pm: 0.000 0.248 0.652
H: 0.000 0.385 0.389
H: 0.000 0.615 0.611
H: 0.000 0.902 0.850
H: 0.000 0.098 0.150
H: 0.500 0.322 0.780
H: 0.500 0.880 0.435
H: 0.500 0.120 0.565
H: 0.500 0.678 0.220

=====

Computed, not measured: a geometry-optimized LaPm2H structure at the PBE-GGA level of DFT.

Values from the calculation:
* total energy: -4.600 eV/atom
* SG: No. 160
* energy above the lowest structure with this stoichiometry: 0 meV per atom

a b c (Å): 3.703 3.703 9.189
angles (deg): 78.38 78.38 60.00
Fractional coordinates of all 4 atoms:
La: 0.501 0.501 0.498
Pm: 0.053 0.053 0.842
Pm: 0.280 0.280 0.160
H: 0.666 0.666 0.001

=====

Computed, not measured: a geometry-optimized LaPmH2 structure at the PBE-GGA level of DFT.

Values from the calculation:
* total energy: -4.413 eV/atom
* SG: No. 160
* energy above the lowest structure with this stoichiometry: 101 meV per atom

a b c (Å): 3.617 3.617 6.561
angles (deg): 74.00 74.00 60.00
Fractional coordinates of all 4 atoms:
La: 0.493 0.493 0.521
Pm: 0.669 0.669 0.994
H: 0.076 0.076 0.773
H: 0.263 0.263 0.212

=====

Computed, not measured: a geometry-optimized La2PmPrH structure at the PBE-GGA level of DFT.

Values from the calculation:
* total energy: -4.728 eV/atom
* SG: No. 123

a b c (Å): 5.210 5.252 5.252
angles (deg): 90.00 90.00 90.00
Fractional coordinates of all 5 atoms:
La: 0.000 0.000 0.500
La: 0.000 0.500 0.000
Pm: 0.500 0.000 0.000
Pr: 0.500 0.500 0.500
H: 0.000 0.000 0.000